(1)
Material: KSbPt2
Method: DFT, SCAN
State: PBEsol geometry

Summary:
The energy is -46.51 eV per atom. The value obtained for the energy above the most stable polymorph in this dataset is 384 meV per atom. The value obtained for the formation energy from raw total energies is -14 meV per atom.

a b c (Å): 3.2717 3.2717 8.1179
angles (deg): 90.00 90.00 90.00
Fractional positions:
K: 0.5000 0.5000 0.5000
Pt: 0.0000 0.0000 0.8118
Pt: 0.0000 0.0000 0.1882
Sb: 0.5000 0.5000 0.0000

(2)
Material: CuReP2
Method: DFT, SCAN
State: PBEsol geometry

Summary:
The energy is -26.61 eV per atom. The value obtained for the energy above the most stable polymorph in this dataset is 94 meV per atom. The calculation puts the formation energy at 0.167 eV per atom.

a b c (Å): 2.9939 3.6399 4.8062
angles (deg): 90.00 90.00 90.00
Fractional positions:
Cu: 0.5000 0.5000 0.8007
P: 0.0000 0.0000 0.9502
P: 0.5000 0.5000 0.2965
Re: 0.0000 0.0000 0.4526

(3)
Material: GaSe3S
Method: DFT, SCAN
State: PBEsol geometry

Summary:
The energy is -16.46 eV per atom. The value obtained for the formation energy from raw total energies is 781 meV per atom.

a b c (Å): 4.8360 4.8360 4.8360
angles (deg): 90.00 90.00 90.00
Fractional positions:
S: 0.5000 0.5000 0.5000
Ga: 0.0000 0.0000 0.0000
Se: 0.0000 0.5000 0.0000
Se: 0.0000 0.0000 0.5000
Se: 0.5000 0.0000 0.0000

(4)
Material: CrAsSeF2
Method: DFT, SCAN
State: PBEsol geometry

Summary:
The energy is -14.66 eV per atom. The value obtained for the formation energy from raw total energies is -1509 meV per atom.

a b c (Å): 3.8018 3.8018 5.5968
angles (deg): 90.00 90.00 90.00
Fractional positions:
Cr: 0.0000 0.0000 0.0000
As: 0.5000 0.5000 0.5000
Se: 0.0000 0.0000 0.5000
F: 0.0000 0.5000 0.0000
F: 0.5000 0.0000 0.0000

(5)
Material: K2NaSbF6
Method: DFT, SCAN
State: PBEsol geometry

Summary:
The energy is -10.65 eV per atom. The value obtained for the formation energy from raw total energies is -2711 meV per atom.

a b c (Å): 6.2124 6.2124 6.2124
angles (deg): 60.00 60.00 60.00
Fractional positions:
Sb: 0.0000 0.0000 0.0000
K: 0.2500 0.2500 0.2500
K: 0.7500 0.7500 0.7500
F: 0.2470 0.7530 0.2470
F: 0.2470 0.2470 0.7530
F: 0.7530 0.7530 0.2470
F: 0.7530 0.2470 0.2470
F: 0.2470 0.7530 0.7530
F: 0.7530 0.2470 0.7530
Na: 0.5000 0.5000 0.5000

(6)
Material: Ca6Ag3Ge5
Method: DFT, SCAN
State: PBEsol geometry

Summary:
The energy is -18.29 eV per atom. The calculation puts the formation energy at -0.606 eV per atom.

a b c (Å): 4.4806 5.8410 13.5367
angles (deg): 84.21 80.47 67.45
Fractional positions:
Ca: 0.2610 0.7513 0.7267
Ca: 0.7405 0.2463 0.2727
Ca: 0.4642 0.1890 0.8825
Ca: 0.5344 0.8117 0.1196
Ca: 0.6044 0.2152 0.5759
Ca: 0.3976 0.7820 0.4228
Ag: 0.7657 0.5775 0.8910
Ag: 0.2450 0.3987 0.1114
Ag: 0.1187 0.8034 0.9592
Ge: 0.8962 0.6340 0.5737
Ge: 0.1081 0.3604 0.4233
Ge: 0.9730 0.3294 0.7245
Ge: 0.0279 0.6715 0.2727
Ge: 0.8632 0.2294 0.0441

(7)
Material: LiRePb2I
Method: DFT, SCAN
State: PBEsol geometry

Summary:
The energy is -51.91 eV per atom. The value obtained for the formation energy from raw total energies is 452 meV per atom.

a b c (Å): 5.2520 5.2520 5.3491
angles (deg): 90.00 90.00 90.00
Fractional positions:
Pb: 0.0000 0.5000 0.0000
Pb: 0.5000 0.0000 0.0000
Re: 0.0000 0.0000 0.0000
I: 0.5000 0.5000 0.5000
Li: 0.0000 0.0000 0.5000

(8)
Material: Li2ZnNi
Method: DFT, SCAN
State: PBEsol geometry

Summary:
The energy is -8.73 eV per atom. The calculation puts the formation energy at -0.113 eV per atom.

a b c (Å): 2.7279 4.1492 4.9930
angles (deg): 114.55 105.85 90.00
Fractional positions:
Ni: 0.5000 0.0000 0.0000
Zn: 0.0000 0.5000 0.0000
Li: 0.7597 0.7597 0.5194
Li: 0.2403 0.2403 0.4806

(9)
Material: BeInCl2
Method: DFT, SCAN
State: PBEsol geometry

Summary:
The energy is -13.36 eV per atom. The value obtained for the energy above the most stable polymorph in this dataset is 917 meV per atom. The value obtained for the formation energy from raw total energies is 62 meV per atom.

a b c (Å): 3.9586 3.9586 6.2999
angles (deg): 108.31 108.31 90.00
Fractional positions:
Be: 0.2500 0.7500 0.5000
Cl: 0.0000 0.0000 0.0000
Cl: 0.7500 0.2500 0.5000
In: 0.5000 0.5000 0.0000

(10)
Material: CrCuSn2Hg
Method: DFT, SCAN
State: PBEsol geometry

Summary:
The energy is -33.62 eV per atom. The calculation puts the formation energy at 1.098 eV per atom.

a b c (Å): 5.0798 5.3706 5.3706
angles (deg): 90.00 90.00 90.00
Fractional positions:
Cr: 0.5000 0.0000 0.0000
Hg: 0.0000 0.0000 0.0000
Cu: 0.5000 0.5000 0.5000
Sn: 0.0000 0.0000 0.5000
Sn: 0.0000 0.5000 0.0000

(11)
Material: RuPt2
Method: DFT, SCAN
State: PBEsol geometry

Summary:
The energy is -58.33 eV per atom. The calculation puts the formation energy at 0.070 eV per atom.

a b c (Å): 2.7158 5.2494 6.5677
angles (deg): 105.74 90.00 104.99
Fractional positions:
Ru: 0.2979 0.5957 0.3669
Ru: 0.7021 0.4043 0.6331
Pt: 0.9759 0.9519 0.6878
Pt: 0.3579 0.7157 0.9646
Pt: 0.6421 0.2843 0.0354
Pt: 0.0241 0.0481 0.3122

(12)
Material: Cd2NiCl
Method: DFT, SCAN
State: PBEsol geometry

Summary:
The energy is -21.34 eV per atom. The value obtained for the energy above the most stable polymorph in this dataset is 116 meV per atom. The value obtained for the formation energy from raw total energies is -94 meV per atom.

a b c (Å): 3.0074 4.4167 6.3396
angles (deg): 110.39 103.72 90.00
Fractional positions:
Ni: 0.2397 0.7397 0.4794
Cl: 0.5745 0.5745 0.1491
Cd: 0.9275 0.9275 0.8550
Cd: 0.7583 0.2583 0.5165

(13)
Material: Ca2AlTe
Method: DFT, SCAN
State: PBEsol geometry

Summary:
The energy is -16.79 eV per atom. The value obtained for the energy above the most stable polymorph in this dataset is 0 meV per atom. The value obtained for the formation energy from raw total energies is -704 meV per atom.

a b c (Å): 4.1047 4.1075 8.7897
angles (deg): 103.46 90.00 119.98
Fractional positions:
Ca: 0.7430 0.4859 0.7298
Ca: 0.2570 0.5141 0.2702
Te: 0.0000 0.0000 0.5000
Al: 0.5000 0.0000 0.0000

(14)
Material: YTlTe2
Method: DFT, SCAN
State: PBEsol geometry

Summary:
The energy is -44.62 eV per atom. The value obtained for the formation energy from raw total energies is -949 meV per atom.

a b c (Å): 3.8079 3.8079 8.0305
angles (deg): 90.00 90.08 90.00
Fractional positions:
Te: 0.0004 0.0000 0.7174
Te: 0.9996 0.0000 0.2826
Tl: 0.5000 0.5000 0.0000
Y: 0.5000 0.5000 0.5000

(15)
Material: MnSi2Mo
Method: DFT, SCAN
State: PBEsol geometry

Summary:
The energy is -18.47 eV per atom. The value obtained for the formation energy from raw total energies is -178 meV per atom.

a b c (Å): 2.8663 4.2577 4.5390
angles (deg): 106.62 108.41 90.00
Fractional positions:
Mn: 0.4950 0.4450 0.9900
Mo: 0.2461 0.7868 0.4923
Si: 0.0001 0.9763 0.0002
Si: 0.7588 0.2919 0.5175

(16)
Material: ScHgRuPb2
Method: DFT, SCAN
State: PBEsol geometry

Summary:
The energy is -52.71 eV per atom. The calculation puts the formation energy at 1.051 eV per atom.

a b c (Å): 5.0263 5.3980 5.3980
angles (deg): 90.00 90.00 90.00
Fractional positions:
Pb: 0.0000 0.0000 0.5000
Pb: 0.0000 0.5000 0.0000
Ru: 0.5000 0.0000 0.0000
Sc: 0.5000 0.5000 0.5000
Hg: 0.0000 0.0000 0.0000

(17)
Material: Be3Si4
Method: DFT, SCAN
State: PBEsol geometry

Summary:
The energy is -7.08 eV per atom. The value obtained for the formation energy from raw total energies is 510 meV per atom.

a b c (Å): 3.1644 3.1644 8.5594
angles (deg): 100.65 100.65 90.00
Fractional positions:
Be: 0.0000 0.0000 0.0000
Be: 0.7148 0.7148 0.4295
Be: 0.2852 0.2852 0.5705
Si: 0.8520 0.8520 0.7040
Si: 0.1480 0.1480 0.2960
Si: 0.5739 0.5739 0.1479
Si: 0.4261 0.4261 0.8521

(18)
Material: BaNiSb2
Method: DFT, SCAN
State: PBEsol geometry

Summary:
The energy is -32.68 eV per atom. The value obtained for the formation energy from raw total energies is -115 meV per atom.

a b c (Å): 3.5280 3.5280 7.7502
angles (deg): 90.00 90.00 90.00
Fractional positions:
Ba: 0.5000 0.5000 0.0000
Ni: 0.5000 0.5000 0.5000
Sb: 0.0000 0.0000 0.6797
Sb: 0.0000 0.0000 0.3203

(19)
Material: CsGaHg2As
Method: DFT, SCAN
State: PBEsol geometry

Summary:
The energy is -41.13 eV per atom. The calculation puts the formation energy at 1.009 eV per atom.

a b c (Å): 6.3301 6.3301 6.3562
angles (deg): 90.00 90.00 90.00
Fractional positions:
Cs: 0.0000 0.0000 0.0000
As: 0.5000 0.5000 0.5000
Hg: 0.0000 0.5000 0.0000
Hg: 0.5000 0.0000 0.0000
Ga: 0.0000 0.0000 0.5000

(20)
Material: Ba2YW
Method: DFT, SCAN
State: PBEsol geometry

Summary:
The energy is -43.33 eV per atom. The calculation puts the formation energy at 0.832 eV per atom.

a b c (Å): 3.8392 3.8390 9.3516
angles (deg): 90.00 90.07 90.00
Fractional positions:
Ba: 0.0012 0.0000 0.9426
Ba: 0.4996 0.5000 0.3211
W: 0.9994 0.0000 0.5585
Y: 0.4997 0.5000 0.6777